Below is Hf5Pd3 after structural relaxation, with properties calculated at the PBE-GGA level.

Output
VASP energy, eV per cell: -137.75
Crystal system: hexagonal
Formation energy, eV/f.u.: -3.6

```
data_Hf5Pd3
_chemical_formula_sum 'Hf10 Pd6'
_space_group_name_H-M_alt 'P 63/m c m'
_space_group_IT_number 193
_space_group_name_Hall '-P 6c 2'
_cell_length_a 8.1518
_cell_length_b 8.1518
_cell_length_c 5.4002
_cell_angle_alpha 90.00
_cell_angle_beta 90.00
_cell_angle_gamma 120.00
loop_
_atom_site_label
_atom_site_type_symbol
_atom_site_fract_x
_atom_site_fract_y
_atom_site_fract_z
_atom_site_occupancy
Hf1 Hf 0.0000 0.2405 0.2500 1
Hf2 Hf 0.3333 0.6667 0.0000 1
Pd1 Pd 0.0000 0.3981 0.7500 1
```

Below is HfPd after structural relaxation, with properties calculated at the PBE-GGA level.

Output
VASP energy, eV per cell: -31.89
Crystal system: hexagonal
Formation energy, eV/f.u.: -0.8

```
data_HfPd
_chemical_formula_sum 'Hf2 Pd2'
_space_group_name_H-M_alt 'P 63/m m c'
_space_group_IT_number 194
_space_group_name_Hall '-P 6c 2c'
_cell_length_a 4.1102
_cell_length_b 4.1102
_cell_length_c 5.5088
_cell_angle_alpha 90.00
_cell_angle_beta 90.00
_cell_angle_gamma 120.00
loop_
_atom_site_label
_atom_site_type_symbol
_atom_site_fract_x
_atom_site_fract_y
_atom_site_fract_z
_atom_site_occupancy
Hf1 Hf 0.3333 0.6667 0.2500 1
Pd1 Pd 0.0000 0.0000 0.0000 1
```

Below is HfPd after structural relaxation, with properties calculated at the PBE-GGA level.

Output
VASP energy, eV per cell: -58.42
Crystal system: cubic
Formation energy, eV/f.u.: 0.5

```
data_HfPd
_chemical_formula_sum 'Hf4 Pd4'
_space_group_name_H-M_alt 'F -4 3 m'
_space_group_IT_number 216
_space_group_name_Hall 'F -4 2 3'
_cell_length_a 5.930
_cell_length_b 5.930
_cell_length_c 5.930
_cell_angle_alpha 90.00
_cell_angle_beta 90.00
_cell_angle_gamma 90.00
loop_
_atom_site_label
_atom_site_type_symbol
_atom_site_fract_x
_atom_site_fract_y
_atom_site_fract_z
_atom_site_occupancy
Hf1 Hf 0.000 0.000 0.000 1
Pd1 Pd 0.250 0.250 0.250 1
```

Below is HfPd after structural relaxation, with properties calculated at the PBE-GGA level.

Output
VASP energy, eV per cell: -66.03
Crystal system: orthorhombic
Formation energy, eV/f.u.: -1.4

```
data_HfPd
_chemical_formula_sum 'Hf4 Pd4'
_space_group_name_H-M_alt 'C m c m'
_space_group_IT_number 63
_space_group_name_Hall '-C 2c 2'
_cell_length_a 3.289
_cell_length_b 10.290
_cell_length_c 4.389
_cell_angle_alpha 90.00
_cell_angle_beta 90.00
_cell_angle_gamma 90.00
loop_
_atom_site_label
_atom_site_type_symbol
_atom_site_fract_x
_atom_site_fract_y
_atom_site_fract_z
_atom_site_occupancy
Hf1 Hf 0.000 0.143 0.250 1
Pd1 Pd 0.000 0.411 0.250 1
```

Below is HfPd after structural relaxation, with properties calculated at the PBE-GGA level.

Output
VASP energy, eV per cell: -131.58
Crystal system: orthorhombic
Formation energy, eV/f.u.: -1.3

```
data_HfPd
_chemical_formula_sum 'Hf8 Pd8'
_space_group_name_H-M_alt 'C m c m'
_space_group_IT_number 63
_space_group_name_Hall '-C 2c 2'
_cell_length_a 3.254
_cell_length_b 20.219
_cell_length_c 4.487
_cell_angle_alpha 90.00
_cell_angle_beta 90.00
_cell_angle_gamma 90.00
loop_
_atom_site_label
_atom_site_type_symbol
_atom_site_fract_x
_atom_site_fract_y
_atom_site_fract_z
_atom_site_occupancy
Hf1 Hf 0.000 0.056 0.250 1
Hf2 Hf 0.000 0.196 0.750 1
Pd1 Pd 0.000 0.331 0.750 1
Pd2 Pd 0.000 0.424 0.250 1
```

Below is HfPd2 after structural relaxation, with properties calculated at the PBE-GGA level.

Output
VASP energy, eV per cell: -85.71
Crystal system: cubic
Formation energy, eV/f.u.: -1.1

```
data_HfPd2
_chemical_formula_sum 'Hf4 Pd8'
_space_group_name_H-M_alt 'F m -3 m'
_space_group_IT_number 225
_space_group_name_Hall '-F 4 2 3'
_cell_length_a 6.189
_cell_length_b 6.189
_cell_length_c 6.189
_cell_angle_alpha 90.00
_cell_angle_beta 90.00
_cell_angle_gamma 90.00
loop_
_atom_site_label
_atom_site_type_symbol
_atom_site_fract_x
_atom_site_fract_y
_atom_site_fract_z
_atom_site_occupancy
Hf1 Hf 0.000 0.000 0.000 1
Pd1 Pd 0.250 0.250 0.250 1
```

Below is PrHfPd after structural relaxation, with properties calculated at the PBE-GGA level.

Output
VASP energy, eV per cell: -80.10
Crystal system: cubic
Formation energy, eV/f.u.: -0.1

```
data_PrHfPd
_chemical_formula_sum 'Pr4 Hf4 Pd4'
_space_group_name_H-M_alt 'F -4 3 m'
_space_group_IT_number 216
_space_group_name_Hall 'F -4 2 3'
_cell_length_a 6.801
_cell_length_b 6.801
_cell_length_c 6.801
_cell_angle_alpha 90.00
_cell_angle_beta 90.00
_cell_angle_gamma 90.00
loop_
_atom_site_label
_atom_site_type_symbol
_atom_site_fract_x
_atom_site_fract_y
_atom_site_fract_z
_atom_site_occupancy
Pr1 Pr 0.000 0.000 0.000 1
Hf1 Hf 0.000 0.000 0.500 1
Pd1 Pd 0.250 0.250 0.750 1
```

Below is Hf2PdPt after structural relaxation, with properties calculated at the PBE-GGA level.

Output
VASP energy, eV per cell: -69.71
Crystal system: orthorhombic
Formation energy, eV/f.u.: -3.7

```
data_Hf2PdPt
_chemical_formula_sum 'Hf4 Pd2 Pt2'
_space_group_name_H-M_alt 'A m m 2'
_space_group_IT_number 38
_cell_length_a 4.327
_cell_length_b 3.361
_cell_length_c 10.324
_cell_angle_alpha 90.00
_cell_angle_beta 90.00
_cell_angle_gamma 90.00
loop_
_space_group_symop_operation_xyz
'x,y,z'
'-x,-y,z'
'-x,y,z'
'x,-y,z'
'x,y+1/2,z+1/2'
'-x,-y+1/2,z+1/2'
'-x,y+1/2,z+1/2'
'x,-y+1/2,z+1/2'
loop_
_atom_site_label
_atom_site_type_symbol
_atom_site_fract_x
_atom_site_fract_y
_atom_site_fract_z
_atom_site_occupancy
Hf1 Hf 0.000 0.000 0.000 1
Hf2 Hf 0.500 0.000 0.284 1
Pd1 Pd 0.000 0.000 0.733 1
Pt1 Pt 0.500 0.000 0.550 1
```